[1]
Entry from the Alexandria database: a relaxed structure of Er2WSe (PBE-GGA).

## Properties
Its uncorrected formation energy is 0.239 eV per atom. The density of states at the Fermi level comes out at 1.39 states/eV/cell. The total energy comes out at -6.152 eV per atom.

Lattice parameters (Å, degrees): 3.3932 3.3932 9.6978 79.92 79.92 60.00
Positions (direct):
Er (0.0975, 0.0975, 0.7076)
Er (0.9025, 0.9025, 0.2924)
Se (0.5000, 0.5000, 0.5000)
W (0.0000, 0.0000, 0.0000)



[2]
Entry from the Alexandria database: a relaxed structure of Tl2SbW (PBE-GGA).

## Properties
Its energy above the most stable polymorph in this dataset is 496.1 meV/atom. Its uncorrected formation energy is 0.986 eV per atom. The density of states at the Fermi level comes out at 3.76 states/eV/cell. The total energy comes out at -4.466 eV per atom.

Lattice parameters (Å, degrees): 5.6478 5.6478 3.0673 90.00 90.00 109.58
Positions (direct):
Tl (0.0000, 0.0000, 0.0000)
Tl (0.5000, 0.5000, 0.0000)
W (0.5000, 0.0000, 0.5000)
Sb (0.0000, 0.5000, 0.5000)



[3]
Entry from the Alexandria database: a relaxed structure of CeScGe (PBE-GGA).

## Properties
The formation energy comes out at -0.366 eV/atom. The density of states at the Fermi level comes out at 5.42 states/eV/cell. The total energy comes out at -5.994 eV per atom.

Lattice parameters (Å, degrees): 3.2918 3.2918 6.8981 103.80 103.80 90.02
Positions (direct):
Ce (0.9830, 0.9830, 0.9660)
Ge (0.3243, 0.3243, 0.6485)
Sc (0.6927, 0.6927, 0.3855)



[4]
Entry from the Alexandria database: a relaxed structure of ScPt3Se (PBE-GGA).

## Properties
Its energy above the most stable polymorph in this dataset is 722.6 meV/atom. Its uncorrected formation energy is 0.760 eV per atom. The density of states at the Fermi level comes out at 3.26 states/eV/cell. The total energy comes out at -4.828 eV per atom.

Lattice parameters (Å, degrees): 4.8256 4.8256 4.8256 90.00 90.00 90.00
Positions (direct):
Pt (0.5000, 0.0000, 0.0000)
Pt (0.0000, 0.0000, 0.5000)
Pt (0.0000, 0.5000, 0.0000)
Sc (0.0000, 0.0000, 0.0000)
Se (0.5000, 0.5000, 0.5000)



[5]
Entry from the Alexandria database: a relaxed structure of LaCoRe (PBE-GGA).

## Properties
The formation energy comes out at 0.083 eV/atom. Its energy above the most stable polymorph in this dataset is 0.0 meV/atom. The density of states at the Fermi level comes out at 3.40 states/eV/cell. The total energy comes out at -8.078 eV per atom.

Lattice parameters (Å, degrees): 3.7995 3.7995 8.3971 90.00 90.00 90.00
Positions (direct):
Re (0.0000, 0.0000, 0.5000)
Re (0.5000, 0.5000, 0.5000)
La (0.5000, 0.0000, 0.1731)
La (0.0000, 0.5000, 0.8269)
Co (0.5000, 0.0000, 0.7012)
Co (0.0000, 0.5000, 0.2988)



[6]
Entry from the Alexandria database: a relaxed structure of Nd4Sn2Br3 (PBE-GGA).

## Properties
Its uncorrected formation energy is -1.193 eV per atom. The density of states at the Fermi level comes out at 3.53 states/eV/cell. The total energy comes out at -4.759 eV per atom.

Lattice parameters (Å, degrees): 4.4709 4.4709 17.8237 90.01 89.99 120.00
Positions (direct):
Nd (0.0002, 0.9998, 0.6977)
Nd (0.3334, 0.6666, 0.8945)
Nd (0.9998, 0.0002, 0.3023)
Nd (0.6666, 0.3334, 0.1055)
Br (0.0000, 0.0000, 0.0000)
Br (0.6665, 0.3335, 0.3974)
Br (0.3335, 0.6665, 0.6026)
Sn (0.6668, 0.3332, 0.7985)
Sn (0.3332, 0.6668, 0.2015)